# 1
The following is a DFT calculation (PBE) of a relaxed BaMg2Zn2 crystal.

Cell: 4.6115 4.6115 12.4639 Å, 90.00 90.00 90.00°
Closest atoms and distances in Å follow each position.
Space group I4/mmm (No. 139)
Unique sites:
Ba 0.0000 0.0000 0.0000 [2 per cell]  8 Zn 3.54, 8 Mg 3.88
Mg 0.0000 0.5000 0.2500 [4 per cell]  4 Zn 2.89
Zn 0.0000 0.0000 0.3904 [4 per cell]  1 Zn 2.73, 4 Mg 2.89

Computed properties:
The calculation puts the calculated total energy at -1.686 eV per atom. The energy above the most stable polymorph in this dataset is 0 meV per atom. The calculated volume is 265 Å³ per cell. The formation enthalpy at 0 K is -74.1 kJ/mol of formula units. Its calculated density is 3.97 g/cm³.

# 2
The following is a DFT calculation (PBE) of a relaxed Ba3Mg8Zn crystal.

Cell: 6.4415 6.4415 31.4806 Å, 90.00 90.00 120.00°
Closest atoms and distances in Å follow each position.
Space group R3m (No. 160, hexagonal axes)
Unique sites:
Ba 0.0000 0.0000 0.0000 [3 per cell]  12 Mg 3.60-3.80, 3 Zn 3.76
Ba 0.0000 0.0000 0.1286 [3 per cell]  12 Mg 3.78-3.84, 4 Ba 4.05
Ba 0.0000 0.0000 0.5125 [3 per cell]  12 Mg 3.67-4.08, 3 Ba 4.05
Mg 0.0000 0.0000 0.3160 [3 per cell]  6 Mg 3.15-3.18
Mg 0.0000 0.0000 0.8171 [3 per cell]  6 Mg 3.25-3.28
Mg 0.0003 0.5001 0.5687 [9 per cell]  6 Mg 3.15-3.25
Mg 0.1684 0.3369 0.3975 [9 per cell]  6 Mg 3.18-3.28, 1 Zn 3.19
Zn 0.0000 0.0000 0.6482 [3 per cell]  3 Mg 3.19

Computed properties:
The calculation puts the calculated total energy at -1.651 eV per atom. The calculated volume is 1131 Å³ per cell. The formation enthalpy at 0 K is -1.0 kJ/mol of formula units. Its calculated density is 2.96 g/cm³.

# 3
The following is a DFT calculation (PBE) of a relaxed Ba2MgZn crystal.

Cell: 4.1742 4.1864 8.6675 Å, 90.00 90.00 90.00°
Closest atoms and distances in Å follow each position.
Space group Pmmm (No. 47)
Unique sites:
Ba 0.0000 0.0000 0.2299 [2 per cell]  4 Zn 3.56, 4 Mg 3.77, 1 Ba 3.99
Mg 0.5000 0.5000 0.5000 [1 per cell]  8 Ba 3.77, 4 Mg 4.17-4.19
Zn 0.5000 0.5000 0.0000 [1 per cell]  8 Ba 3.56

Computed properties:
The calculation puts the calculated total energy at -1.788 eV per atom. The calculated volume is 151 Å³ per cell. The formation enthalpy at 0 K is -42.4 kJ/mol of formula units. Its calculated density is 3.99 g/cm³.

# 4
The following is a DFT calculation (PBE) of a relaxed Ba6MgZn2 crystal.

Cell: 11.4752 11.8112 12.1848 Å, 90.00 90.00 90.00°
Closest atoms and distances in Å follow each position.
Space group Immm (No. 71)
Unique sites:
Ba 0.0000 0.1877 0.2480 [8 per cell]  1 Zn 3.47, 2 Mg 3.75-3.79
Ba 0.1872 0.5000 0.1698 [8 per cell]  3 Zn 3.47-3.58
Ba 0.2266 0.3224 0.5000 [8 per cell]  3 Zn 3.59-3.63, 1 Mg 3.77
Mg 0.0000 0.0000 0.0000 [2 per cell]  8 Ba 3.75-3.77, 2 Zn 3.93
Mg 0.0000 0.0000 0.5000 [2 per cell]  8 Ba 3.79-4.14
Zn 0.0000 0.3324 0.0000 [4 per cell]  8 Ba 3.47-3.63
Zn 0.0000 0.5000 0.3929 [4 per cell]  1 Zn 2.61

Computed properties:
The calculation puts the calculated total energy at -1.803 eV per atom. The calculated volume is 1651 Å³ per cell. The formation enthalpy at 0 K is -53.3 kJ/mol of formula units. Its calculated density is 3.94 g/cm³.